The following is a DFT calculation (PBE) of AcHo4Tm7 after structural relaxation.

Results
formation energy from the elements = 21 meV per atom

```
AcHo4Tm7
1.0
5.632 0.000 0.000
0.000 6.229 0.000
0.000 0.000 21.694
Tm Ho Ac
14 8 2
direct
0.013 0.832 0.086
0.013 0.837 0.413
0.013 0.832 0.914
0.013 0.837 0.587
0.013 0.834 0.250
0.513 0.163 0.913
0.513 0.168 0.586
0.513 0.166 0.250
0.513 0.168 0.414
0.513 0.166 0.750
0.013 0.834 0.750
0.013 0.324 0.500
0.513 0.676 0.000
0.513 0.163 0.087
0.513 0.668 0.832
0.013 0.331 0.169
0.513 0.669 0.331
0.013 0.331 0.831
0.013 0.332 0.668
0.513 0.668 0.168
0.013 0.332 0.332
0.513 0.669 0.669
0.513 0.671 0.500
0.013 0.329 0.000
```